--- 1 ---
Compound: KO2
Source: Alexandria
Functional: PBE
Structure: relaxed

Properties
For the total magnetization, the calculation gives 0.33 μB/atom.

a = 4.376 Å, b = 4.848 Å, c = 5.446 Å
α = 90.00°, β = 90.00°, γ = 90.00°
Space group Immm (No. 71)
One atom of each set of equivalent atoms:
K (0.000, 0.000, 0.000) x2
O (0.000, 0.140, 0.500) x4

--- 2 ---
Compound: KO2
Source: Alexandria
Functional: PBE
Structure: relaxed

Properties
For the total magnetization, the calculation gives 0.33 μB/atom.

a = 6.225 Å, b = 6.225 Å, c = 6.225 Å
α = 90.00°, β = 90.00°, γ = 90.00°
Space group Pa-3 (No. 205)
One atom of each set of equivalent atoms:
K (0.000, 0.000, 0.000) x4
O (0.063, 0.563, 0.937) x8

Most stable structure among those shown: 1. Next: +3.1 kJ/mol of atoms.